# 1
{
  "formula": "Sc2Cl2F",
  "functional": "PBE",
  "state": "relaxed",
  "lattice_angstrom": [[5.236, 0.000, 0.000], [0.000, 5.236, 0.000], [2.618, 2.618, 3.791]],
  "species": ["Sc", "Sc", "F", "Cl", "Cl"],
  "fractional_positions": [[0.272, 0.272, 0.456], [0.728, 0.728, 0.544], [0.000, 0.000, 0.000], [0.750, 0.250, 0.500], [0.250, 0.750, 0.500]],
  "polymorph_energy_mev_per_atom": 43,
  "total_magnetization_mub_per_cell": 2.1
}

# 2
{
  "formula": "ScCl2F",
  "functional": "PBE",
  "state": "relaxed",
  "lattice_angstrom": [[2.574, 0.000, 3.642], [-1.287, 2.229, 3.642], [-1.287, -2.229, 3.642]],
  "species": ["Sc", "F", "Cl", "Cl"],
  "fractional_positions": [[0.000, 0.000, 0.000], [0.500, 0.500, 0.500], [0.750, 0.750, 0.750], [0.250, 0.250, 0.250]],
  "polymorph_energy_mev_per_atom": 869,
  "total_magnetization_mub_per_cell": 0.0
}

# 3
{
  "formula": "Sc2Cl2F",
  "functional": "PBE",
  "state": "relaxed",
  "lattice_angstrom": [[6.337, 0.000, 0.000], [0.000, 6.337, 0.000], [0.000, 0.000, 4.543]],
  "species": ["Sc", "Sc", "Sc", "Sc", "F", "F", "Cl", "Cl", "Cl", "Cl"],
  "fractional_positions": [[0.320, 0.820, 0.000], [0.820, 0.680, 0.000], [0.680, 0.180, 0.000], [0.180, 0.320, 0.000], [0.000, 0.000, 0.000], [0.500, 0.500, 0.000], [0.179, 0.679, 0.500], [0.679, 0.821, 0.500], [0.821, 0.321, 0.500], [0.321, 0.179, 0.500]],
  "polymorph_energy_mev_per_atom": 0,
  "total_magnetization_mub_per_cell": 0.0
}

# 4
{
  "formula": "ScCl3F",
  "functional": "PBE",
  "state": "relaxed",
  "lattice_angstrom": [[-4.751, 1.228, 0.733], [-1.338, -4.715, -0.771], [0.506, -0.935, 4.846]],
  "species": ["Sc", "F", "Cl", "Cl", "Cl"],
  "fractional_positions": [[0.000, 0.000, 0.000], [0.500, 0.500, 0.500], [0.000, 0.500, 0.000], [0.000, 0.000, 0.500], [0.500, 0.000, 0.000]],
  "polymorph_energy_mev_per_atom": 0,
  "total_magnetization_mub_per_cell": 1.0
}

Repeat the third record exactly.
{
  "formula": "Sc2Cl2F",
  "functional": "PBE",
  "state": "relaxed",
  "lattice_angstrom": [[6.337, 0.000, 0.000], [0.000, 6.337, 0.000], [0.000, 0.000, 4.543]],
  "species": ["Sc", "Sc", "Sc", "Sc", "F", "F", "Cl", "Cl", "Cl", "Cl"],
  "fractional_positions": [[0.320, 0.820, 0.000], [0.820, 0.680, 0.000], [0.680, 0.180, 0.000], [0.180, 0.320, 0.000], [0.000, 0.000, 0.000], [0.500, 0.500, 0.000], [0.179, 0.679, 0.500], [0.679, 0.821, 0.500], [0.821, 0.321, 0.500], [0.321, 0.179, 0.500]],
  "polymorph_energy_mev_per_atom": 0,
  "total_magnetization_mub_per_cell": 0.0
}